4
Lattice="4.2689 0.0000 0.0000 2.1344 3.6970 0.0000 2.1344 1.2323 3.7934" Properties=species:S:1:pos:R:3 comment="PaFe2Ru | the Alexandria database | PBE-GGA | optimized geometry" space_group="R-3m (166)" delta_e_f_ev_per_atom=0.071 dos_at_fermi_per_ev_cell=4.9 pbc="T T T"
Fe 6.4033 3.6970 2.4992
Ru 0.0000 0.0000 0.0000
Pa 4.2689 2.4646 1.8967
Fe 2.1344 1.2323 1.2942

=====

3
Lattice="4.4694 0.0000 0.7270 0.0000 3.1812 0.0000 2.0487 0.0000 4.0382" Properties=species:S:1:pos:R:3 comment="PaFeRu | the Alexandria database | PBE-GGA | optimized geometry" space_group="Amm2 (38)" delta_e_f_ev_per_atom=0.011 dos_at_fermi_per_ev_cell=2.6 pbc="T T T"
Pa 5.1523 1.5906 3.7667
Fe 0.4277 1.5906 0.3127
Ru 3.2759 0.0000 2.3949